1.
First-principles (PBE) data for a relaxed structure of LiYIr, as listed in the Alexandria database.

a = 4.3948 Å, b = 4.3948 Å, c = 3.3186 Å
α = 90.00°, β = 90.00°, γ = 120.00°
Last column: nearest neighbours and their distance in Å.
Element x y z (fractional)
1 Li 0.3333 0.6667 0.1669  3 Ir 2.54
2 Ir 0.0000 0.0000 0.1665  3 Li 2.54
3 Y 0.6667 0.3333 0.6666  6 Li 3.03, 6 Ir 3.03, 2 Y 3.32

- Polymorph energy (0 for the lowest one): 6 meV/atom



2.
First-principles (PBE) data for a relaxed structure of Li3Y4Ir2, as listed in the Alexandria database.

a = 4.8200 Å, b = 4.8192 Å, c = 9.8088 Å
α = 89.99°, β = 90.00°, γ = 59.99°
Last column: nearest neighbours and their distance in Å.
Element x y z (fractional)
1 Y 0.3334 0.3332 0.1113  4 Ir 2.91-3.05, 3 Li 2.99
2 Ir 0.6668 0.6663 0.1994  1 Li 2.84, 7 Y 2.91-3.05
3 Li 0.0000 0.0000 0.0000  8 Y 2.99-3.05
4 Y 0.9998 0.0003 0.6890  3 Ir 2.99, 4 Li 3.05-3.29
5 Li 0.3333 0.3334 0.5110  3 Li 2.79, 1 Ir 2.84
6 Ir 0.3332 0.3337 0.8006  1 Li 2.84, 7 Y 2.91-3.05
7 Y 0.0002 0.9997 0.3110  3 Ir 2.99, 4 Li 3.05-3.29
8 Y 0.6666 0.6668 0.8887  4 Ir 2.91-3.05, 3 Li 2.99
9 Li 0.6667 0.6666 0.4890  3 Li 2.79, 1 Ir 2.84



3.
First-principles (PBE) data for a relaxed structure of LiY4Ir3, as listed in the Alexandria database.

a = 4.9038 Å, b = 4.9038 Å, c = 7.7792 Å
α = 108.39°, β = 108.37°, γ = 90.00°
Last column: nearest neighbours and their distance in Å.
Element x y z (fractional)
1 Y 0.8709 0.8709 0.7417  6 Ir 2.91-3.04, 2 Li 3.04
2 Y 0.6291 0.6291 0.2582  6 Ir 2.91-3.04, 2 Li 3.04
3 Y 0.3709 0.3709 0.7418  6 Ir 2.91-3.04, 2 Li 3.04
4 Li 0.5000 0.0000 0.0000  8 Y 3.04, 2 Ir 3.37
5 Ir 0.2580 0.7579 0.5159  8 Y 2.91-3.04
6 Ir 0.7420 0.2421 0.4841  8 Y 2.91-3.04
7 Y 0.1291 0.1291 0.2583  6 Ir 2.91-3.04, 2 Li 3.04
8 Ir 0.0000 0.5000 0.0000  8 Y 3.04



4.
First-principles (PBE) data for a relaxed structure of LiYIr, as listed in the Alexandria database.

a = 5.5971 Å, b = 5.5984 Å, c = 4.5048 Å
α = 113.76°, β = 113.77°, γ = 97.82°
Last column: nearest neighbours and their distance in Å.
Element x y z (fractional)
1 Li 0.0113 0.4882 0.7497  2 Li 2.26
2 Li 0.9887 0.5118 0.2503  2 Li 2.26
3 Ir 0.0000 0.0000 0.0000  2 Li 2.64, 4 Y 2.85, 2 Ir 2.91
4 Y 0.3651 0.1351 0.7501  4 Ir 2.85, 3 Li 2.98-3.09
5 Y 0.6349 0.8649 0.2499  4 Ir 2.85, 3 Li 2.98-3.09
6 Ir 0.5000 0.5000 0.5000  2 Li 2.64, 4 Y 2.85, 2 Ir 2.91

- Polymorph energy (0 for the lowest one): 0 meV/atom



5.
First-principles (PBE) data for a relaxed structure of Li2Y2Ir, as listed in the Alexandria database.

a = 7.1912 Å, b = 7.1912 Å, c = 5.3234 Å
α = 90.00°, β = 90.00°, γ = 90.00°
Last column: nearest neighbours and their distance in Å.
Element x y z (fractional)
1 Y 0.8301 0.6699 0.0000  2 Ir 2.67
2 Li 0.3485 0.1515 0.5000  1 Li 3.08, 2 Y 3.22
3 Ir 0.0000 0.0000 0.0000  4 Y 2.67
4 Li 0.6515 0.8485 0.5000  1 Li 3.08, 2 Y 3.22
5 Y 0.6699 0.1699 0.0000  2 Ir 2.67
6 Ir 0.5000 0.5000 0.0000  4 Y 2.67
7 Y 0.3301 0.8301 0.0000  2 Ir 2.67
8 Li 0.8485 0.3485 0.5000  1 Li 3.08, 2 Y 3.22
9 Li 0.1515 0.6515 0.5000  1 Li 3.08, 2 Y 3.22
10 Y 0.1699 0.3301 0.0000  2 Ir 2.67

- Polymorph energy (0 for the lowest one): 299 meV/atom



6.
First-principles (PBE) data for a relaxed structure of Li2YIr, as listed in the Alexandria database.

a = 10.1374 Å, b = 10.1374 Å, c = 10.1374 Å
α = 16.61°, β = 16.61°, γ = 16.61°
Last column: nearest neighbours and their distance in Å.
Element x y z (fractional)
1 Ir 0.7500 0.7500 0.7500  6 Li 2.66, 6 Ir 2.93
2 Li 0.0147 0.0147 0.0147  3 Ir 2.66, 6 Li 2.93
3 Y 0.2500 0.2500 0.2500  6 Y 2.93
4 Li 0.4853 0.4853 0.4853  3 Ir 2.66, 6 Li 2.93

- Polymorph energy (0 for the lowest one): 564 meV/atom



Per-record formation energy from the elements, eV/atom: -0.41 -0.43 -0.67 -0.42 0.07 0.26
Per-record spin magnetization, μB per formula unit: 0.0 0.0 0.0 0.0 0.0 0.3